DFT (PBE) results for a relaxed structure of K2YBiO4.

Unit cell a=3.547 b=6.173 c=6.608 alpha=107.97 beta=90.00 gamma=90.00
Fractional coordinates of all 8 atoms:
O 0.500 0.754 0.802
O 0.000 0.719 0.190
O 0.500 0.246 0.198
O 0.000 0.281 0.810
K 0.500 0.000 0.500
K 0.000 0.500 0.500
Y 0.500 0.500 0.000
Bi 0.000 0.000 0.000

Results
Calculated volume: 137.6 Å³ per cell
Formation energy without anion corrections: -2.04 eV per atom
Total magnetization: 0.00 μB/cell

DFT (PBE) results for a relaxed structure of ZrMo2Ir.

Unit cell a=5.321 b=5.321 c=5.321 alpha=137.32 beta=137.32 gamma=61.95
Fractional coordinates of all 4 atoms:
Mo 0.500 0.500 0.000
Mo 0.000 0.000 0.000
Zr 0.250 0.750 0.500
Ir 0.750 0.250 0.500

Results
Calculated volume: 68.4 Å³ per cell
Total magnetization: 0.00 μB/cell
ΔE_f: -0.3 eV/f.u.
Distance to the lowest polymorph of the same formula: 0.48 eV per formula unit

DFT (PBE) results for a relaxed structure of BaLa3Si.

Unit cell a=5.928 b=5.928 c=5.928 alpha=90.00 beta=90.00 gamma=90.00
Fractional coordinates of all 5 atoms:
La 0.000 0.000 0.500
La 0.500 0.000 0.000
La 0.000 0.500 0.000
Si 0.000 0.000 0.000
Ba 0.500 0.500 0.500

Results
Calculated volume: 208.3 Å³ per cell
Formation energy without anion corrections: -0.08 eV per atom
Total magnetization: 0.00 μB/cell
Distance to the lowest polymorph of the same formula: 0.00 eV per formula unit